# Ba2SrCo

Ba2SrCo after structural relaxation (PBE, the Alexandria database).

Properties
ΔE_f: 0.6075 eV/atom
Theoretical density: 4.28 g/cm3
Energy relative to the lowest polymorph listed for this composition: 0.3135 eV per atom

Lattice parameters (Å, degrees): 7.850 7.865 5.294 90.00 90.00 90.00
Space group Cmmm (No. 65)
Inequivalent atoms, fractional coordinates:
Ba: 0.250 0.250 0.000
Sr: 0.000 0.000 0.500
Co: 0.000 0.500 0.500